Entry 1:
{"formula": "La3Cd4Ag2", "functional": "PBE-GGA", "state": "optimized geometry", "final_energy_ev_per_atom": -3.03, "rho_g_cm3": 7.7, "formation_energy_ev_per_atom": -0.35, "n_ef_per_ev_cell": 6.4, "lattice": [[5.634, -2.534, 0.000], [5.634, 2.534, 0.000], [-4.678, 0.000, 8.212]], "species": ["La", "La", "La", "Cd", "Cd", "Cd", "Cd", "Ag", "Ag"], "fractional_positions": [[0.000, 0.000, 0.000], [0.331, 0.331, 0.338], [0.669, 0.669, 0.662], [0.049, 0.049, 0.381], [0.280, 0.280, 0.943], [0.720, 0.720, 0.057], [0.951, 0.951, 0.619], [0.395, 0.395, 0.728], [0.605, 0.605, 0.272]]}

=====

Entry 2:
{"formula": "LaCd2Ag10", "functional": "PBE-GGA", "state": "optimized geometry", "final_energy_ev_per_atom": -2.78, "rho_g_cm3": 9.1, "formation_energy_ev_per_atom": -0.07, "n_ef_per_ev_cell": 4.0, "lattice": [[0.000, 6.733, 7.020], [2.790, 0.000, 7.020], [2.790, 6.733, 0.000]], "species": ["La", "Cd", "Cd", "Ag", "Ag", "Ag", "Ag", "Ag", "Ag", "Ag", "Ag", "Ag", "Ag"], "fractional_positions": [[0.000, 0.000, 0.000], [0.000, 0.500, 0.000], [0.500, 0.000, 0.500], [0.000, 0.000, 0.500], [0.006, 0.647, 0.353], [0.285, 0.502, 0.498], [0.353, 0.994, 0.006], [0.498, 0.715, 0.285], [0.500, 0.500, 0.000], [0.502, 0.285, 0.715], [0.647, 0.006, 0.994], [0.715, 0.498, 0.502], [0.994, 0.353, 0.647]]}